1.
Here is Li3AgI4 after structural relaxation from Alexandria. Energies are from PBE.

Cell and atoms, written as CIF:
```
data_Li3AgI4
_cell_length_a 9.251
_cell_length_b 8.041
_cell_length_c 7.523
_cell_angle_alpha 90.00
_cell_angle_beta 90.00
_cell_angle_gamma 90.00
_symmetry_space_group_name_H-M 'P m n 21'
_symmetry_Int_Tables_number 31
loop_
_symmetry_equiv_pos_as_xyz
'x,y,z'
'-x+1/2,-y,z+1/2'
'-x,y,z'
'x+1/2,-y,z+1/2'
loop_
_atom_site_label
_atom_site_type_symbol
_atom_site_fract_x
_atom_site_fract_y
_atom_site_fract_z
Li1 Li 0.000 0.164 0.000
Li2 Li 0.249 0.334 0.499
Ag1 Ag 0.000 0.833 0.702
I1 I 0.000 0.181 0.628
I2 I 0.000 0.833 0.100
I3 I 0.239 0.340 0.127
```

Values from the calculation:
DOS at the Fermi energy	0.0	states/eV/f.u.
ΔE_f (raw)	-0.96	eV/atom
spin magnetization	0.00	μB/cell
energy above the lowest structure with this stoichiometry	1.3	kJ per mole of atoms
DFT total energy	-2.811	eV/atom

=====

2.
Here is Pu2SnPd3 after structural relaxation from Alexandria. Energies are from PBE.

Cell and atoms, written as CIF:
```
data_Pu2SnPd3
_cell_length_a 5.6530
_cell_length_b 5.6530
_cell_length_c 8.7378
_cell_angle_alpha 90.00
_cell_angle_beta 90.00
_cell_angle_gamma 120.00
_symmetry_space_group_name_H-M 'P 63/m m c'
_symmetry_Int_Tables_number 194
_symmetry_space_group_name_Hall '-P 6c 2c'
loop_
_atom_site_label
_atom_site_type_symbol
_atom_site_fract_x
_atom_site_fract_y
_atom_site_fract_z
Pu1 Pu 0.3333 0.6667 0.0725
Sn1 Sn 0.0000 0.0000 0.0000
Pd1 Pd 0.1720 0.3441 0.7500
```

Values from the calculation:
formation energy	-0.601	eV/atom
DOS at the Fermi energy	18.3	states/eV/f.u.
spin magnetization	21.87	μB/cell
DFT total energy	-8.642	eV/atom

=====

3.
Here is Zn2SiTe after structural relaxation from Alexandria. Energies are from PBE.

Cell and atoms, written as CIF:
```
data_Zn2SiTe
_cell_length_a 4.440
_cell_length_b 3.828
_cell_length_c 5.195
_cell_angle_alpha 90.00
_cell_angle_beta 107.04
_cell_angle_gamma 90.00
_symmetry_space_group_name_H-M 'P 1 2/m 1'
_symmetry_Int_Tables_number 10
loop_
_symmetry_equiv_pos_as_xyz
'x,y,z'
'-x,-y,-z'
'-x,y,-z'
'x,-y,z'
loop_
_atom_site_label
_atom_site_type_symbol
_atom_site_fract_x
_atom_site_fract_y
_atom_site_fract_z
Zn1 Zn 0.232 0.000 0.286
Si1 Si 0.000 0.500 0.500
Te1 Te 0.500 0.500 0.000
```

Values from the calculation:
DOS at the Fermi energy	1.5	states/eV/f.u.
ΔE_f (raw)	0.21	eV/atom
spin magnetization	0.00	μB/cell
energy above the lowest structure with this stoichiometry	13.5	kJ per mole of atoms
DFT total energy	-2.571	eV/atom

=====

4.
Here is GePtSN2 after structural relaxation from Alexandria. Energies are from PBE.

Cell and atoms, written as CIF:
```
data_GePtSN2
_cell_length_a 3.734
_cell_length_b 3.734
_cell_length_c 8.104
_cell_angle_alpha 90.00
_cell_angle_beta 90.00
_cell_angle_gamma 90.00
_symmetry_space_group_name_H-M 'P 4/m m m'
_symmetry_Int_Tables_number 123
_symmetry_space_group_name_Hall '-P 4 2'
loop_
_atom_site_label
_atom_site_type_symbol
_atom_site_fract_x
_atom_site_fract_y
_atom_site_fract_z
Ge1 Ge 0.000 0.000 0.000
Pt1 Pt 0.500 0.500 0.500
S1 S 0.500 0.500 0.000
N1 N 0.000 0.500 0.500
```

Values from the calculation:
DOS at the Fermi energy	2.4	states/eV/f.u.
ΔE_f (raw)	1.07	eV/atom
spin magnetization	0.00	μB/cell
DFT total energy	-5.216	eV/atom

=====

5.
Here is K3Sm3UTe8 after structural relaxation from Alexandria. Energies are from PBE.

Cell and atoms, written as CIF:
```
data_K3Sm3UTe8
_cell_length_a 9.0363
_cell_length_b 9.0363
_cell_length_c 25.1479
_cell_angle_alpha 90.00
_cell_angle_beta 90.00
_cell_angle_gamma 120.00
_symmetry_space_group_name_H-M 'R -3 m'
_symmetry_Int_Tables_number 166
_symmetry_space_group_name_Hall '-R 3 2"'
loop_
_atom_site_label
_atom_site_type_symbol
_atom_site_fract_x
_atom_site_fract_y
_atom_site_fract_z
K1 K 0.0000 0.5000 0.0000
Sm1 Sm 0.0000 0.5000 0.5000
U1 U 0.0000 0.0000 0.5000
Te1 Te 0.0000 0.0000 0.2376
Te2 Te 0.0057 0.5029 0.2356
```

Values from the calculation:
DOS at the Fermi energy	5.1	states/eV/f.u.
ΔE_f (raw)	-1.25	eV/atom
spin magnetization	6.00	μB/cell
DFT total energy	-4.838	eV/atom

=====

6.
Here is Pr8Sm6Dy after structural relaxation from Alexandria. Energies are from PBE.

Cell and atoms, written as CIF:
```
data_Pr8Sm6Dy
_cell_length_a 10.0020
_cell_length_b 10.0020
_cell_length_c 18.1879
_cell_angle_alpha 90.00
_cell_angle_beta 90.00
_cell_angle_gamma 120.00
_symmetry_space_group_name_H-M 'R -3'
_symmetry_Int_Tables_number 148
_symmetry_space_group_name_Hall '-R 3'
loop_
_atom_site_label
_atom_site_type_symbol
_atom_site_fract_x
_atom_site_fract_y
_atom_site_fract_z
Pr1 Pr 0.0000 0.0000 0.0865
Pr2 Pr 0.0562 0.8160 0.6702
Sm1 Sm 0.0411 0.7549 0.1757
Dy1 Dy 0.0000 0.0000 0.5000
```

Values from the calculation:
formation energy	0.151	eV/atom
DOS at the Fermi energy	22.8	states/eV/f.u.
spin magnetization	0.00	μB/cell
energy above the lowest structure with this stoichiometry	0.0	kJ per mole of atoms
DFT total energy	-4.592	eV/atom